This record from Alexandria via LeMat-Bulk describes an optimized crystal structure of PrSm2S. The functional is PBE.

Calculated values
* crystal system: trigonal
* distance to the lowest polymorph of the same formula: 0.000 eV/atom
* size of the total moment: 0.41 μB/cell

Cell: 3.8410 3.8410 9.7888 Å, 78.65 78.65 59.98°
Fractional coordinates of all 4 atoms:
S1 0.6669 0.6669 0.9995
Pr1 0.4998 0.4998 0.5001
Sm1 0.0598 0.0598 0.8212
Sm2 0.2735 0.2735 0.1793